# 1
La2Sm8Tl, relaxed, DFT GGA-PBE; magnetization = 0.00 Bohr magnetons per cell; calculated formation energy = -33 meV per atom; offset from the most stable computed form = 0 meV per atom; uncorrected energy = -50.33 eV/cell
1.0
9.233 -2.539 0.000
9.233 2.539 0.000
-2.106 0.000 7.785
La Sm Tl
2 8 1
direct
0.222 0.222 0.133 La
0.778 0.778 0.867 La
0.043 0.043 0.226 Sm
0.136 0.136 0.676 Sm
0.322 0.322 0.593 Sm
0.412 0.412 0.059 Sm
0.588 0.588 0.941 Sm
0.678 0.678 0.407 Sm
0.864 0.864 0.324 Sm
0.957 0.957 0.774 Sm
0.500 0.500 0.500 Tl

# 2
CsMg2InBr8, relaxed, DFT GGA-PBE; magnetization = 0.00 Bohr magnetons per cell; E_form (uncorrected) = -1.259 eV per atom; uncorrected energy = -35.27 eV/cell
1.0
7.384 0.000 0.000
1.950 7.330 0.000
0.631 3.514 8.522
Cs Mg In Br
1 2 1 8
direct
0.000 0.000 0.000 Cs
0.441 0.196 0.789 Mg
0.559 0.804 0.211 Mg
0.000 0.500 0.500 In
0.128 0.471 0.780 Br
0.260 0.743 0.361 Br
0.268 0.179 0.541 Br
0.484 0.815 0.929 Br
0.516 0.185 0.071 Br
0.732 0.821 0.459 Br
0.740 0.257 0.639 Br
0.872 0.529 0.220 Br

# 3
AcTmN2, relaxed, DFT GGA-PBE; magnetization = 0.00 Bohr magnetons per cell; E_form (uncorrected) = -1.079 eV per atom; offset from the most stable computed form = 0 meV per atom; uncorrected energy = -29.55 eV/cell
1.0
1.786 1.031 6.308
-1.786 1.031 6.308
0.000 -2.063 6.308
Ac Tm N
1 1 2
direct
0.000 0.000 0.000 Ac
0.170 0.170 0.170 Tm
0.437 0.437 0.437 N
0.588 0.588 0.588 N

# 4
AcTb3PrSm, relaxed, DFT GGA-PBE; magnetization = 0.00 Bohr magnetons per cell; calculated formation energy = 214 meV per atom; uncorrected energy = -52.43 eV/cell
1.0
10.270 -2.878 0.000
10.270 2.878 0.000
-0.018 0.000 7.236
Ac Tb Pr Sm
2 6 2 2
direct
0.146 0.146 0.034 Ac
0.854 0.854 0.966 Ac
0.020 0.020 0.734 Tb
0.281 0.281 0.745 Tb
0.333 0.333 0.264 Tb
0.667 0.667 0.736 Tb
0.719 0.719 0.255 Tb
0.980 0.980 0.266 Tb
0.445 0.445 0.720 Pr
0.555 0.555 0.280 Pr
0.149 0.149 0.476 Sm
0.851 0.851 0.524 Sm

# 5
CaZrW2, relaxed, DFT GGA-PBE; magnetization = 0.00 Bohr magnetons per cell; calculated formation energy = 549 meV per atom; offset from the most stable computed form = 151 meV per atom; uncorrected energy = -34.26 eV/cell
1.0
-1.705 2.472 5.054
1.705 -2.472 5.054
1.705 2.472 -5.054
Ca Zr W
1 1 2
direct
0.000 0.000 0.000 Ca
0.727 0.227 0.500 Zr
0.263 0.763 0.500 W
0.444 0.444 0.000 W

# 6
BaCaAg2Sb2, relaxed, DFT GGA-PBE; magnetization = 0.00 Bohr magnetons per cell; E_form (uncorrected) = -0.739 eV per atom; uncorrected energy = -22.30 eV/cell
1.0
4.827 0.000 0.000
-2.414 4.181 0.000
0.000 0.000 8.589
Ba Ca Ag Sb
1 1 2 2
direct
0.000 0.000 0.000 Ba
0.000 0.000 0.500 Ca
0.333 0.667 0.699 Ag
0.667 0.333 0.301 Ag
0.333 0.667 0.269 Sb
0.667 0.333 0.731 Sb

# 7
Sm7Ga2Ir2, relaxed, DFT GGA-PBE; magnetization = 0.00 Bohr magnetons per cell; calculated formation energy = -426 meV per atom; uncorrected energy = -61.49 eV/cell
1.0
4.037 -5.523 0.000
4.037 5.523 0.000
0.000 0.000 7.087
Sm Ga Ir
7 2 2
direct
0.000 0.000 0.000 Sm
0.000 0.500 0.260 Sm
0.000 0.500 0.740 Sm
0.500 0.000 0.260 Sm
0.500 0.000 0.740 Sm
0.500 0.500 0.255 Sm
0.500 0.500 0.745 Sm
0.163 0.163 0.500 Ga
0.837 0.837 0.500 Ga
0.292 0.708 0.000 Ir
0.708 0.292 0.000 Ir

# 8
BaGaHg2Rh, relaxed, DFT GGA-PBE; magnetization = 0.00 Bohr magnetons per cell; calculated formation energy = -395 meV per atom; uncorrected energy = -14.88 eV/cell
1.0
5.346 0.000 0.000
0.000 5.346 0.000
0.000 0.000 4.796
Ba Ga Hg Rh
1 1 2 1
direct
0.000 0.000 0.000 Ba
0.500 0.500 0.000 Ga
0.000 0.500 0.500 Hg
0.500 0.000 0.500 Hg
0.500 0.500 0.500 Rh

# 9
SrMg3, relaxed, DFT GGA-PBE; magnetization = 0.00 Bohr magnetons per cell; calculated formation energy = 1012 meV per atom; uncorrected energy = -2.42 eV/cell
1.0
7.132 0.000 0.000
0.000 7.132 0.000
0.000 0.000 7.132
Sr Mg
1 3
direct
0.000 0.000 0.000 Sr
0.000 0.000 0.500 Mg
0.000 0.500 0.000 Mg
0.500 0.000 0.000 Mg

# 10
KBa2Ac, relaxed, DFT GGA-PBE; magnetization = 0.00 Bohr magnetons per cell; calculated formation energy = 177 meV per atom; offset from the most stable computed form = 84 meV per atom; uncorrected energy = -8.34 eV/cell
1.0
7.160 0.000 0.000
0.000 7.160 0.000
0.000 0.000 4.451
K Ba Ac
1 2 1
direct
0.000 0.000 0.000 K
0.000 0.500 0.500 Ba
0.500 0.000 0.500 Ba
0.500 0.500 0.000 Ac

# 11
Al3VGa, relaxed, DFT GGA-PBE; magnetization = 3.33 Bohr magnetons per cell; calculated formation energy = 945 meV per atom; offset from the most stable computed form = 952 meV per atom; uncorrected energy = -18.65 eV/cell
1.0
4.768 0.000 0.000
0.000 4.768 0.000
0.000 0.000 4.768
Al V Ga
3 1 1
direct
0.000 0.000 0.500 Al
0.000 0.500 0.000 Al
0.500 0.000 0.000 Al
0.500 0.500 0.500 V
0.000 0.000 0.000 Ga

# 12
V2RuSe4, relaxed, DFT GGA-PBE; magnetization = 3.97 Bohr magnetons per cell; E_form (uncorrected) = -0.122 eV per atom; uncorrected energy = -42.30 eV/cell
1.0
-3.510 3.510 3.226
3.510 -3.510 3.226
3.510 3.510 -3.226
V Ru Se
2 1 4
direct
0.250 0.750 0.500 V
0.750 0.250 0.500 V
0.000 0.000 0.000 Ru
0.175 0.310 0.486 Se
0.310 0.825 0.135 Se
0.690 0.175 0.865 Se
0.825 0.690 0.514 Se

# 13
NbZnPCl2, relaxed, DFT GGA-PBE; magnetization = 2.00 Bohr magnetons per cell; E_form (uncorrected) = 0.472 eV per atom; offset from the most stable computed form = 655 meV per atom; uncorrected energy = -18.09 eV/cell
1.0
4.445 0.000 0.000
0.000 4.445 0.000
0.000 0.000 5.608
Nb Zn P Cl
1 1 1 2
direct
0.000 0.000 0.000 Nb
0.500 0.500 0.500 Zn
0.500 0.500 0.000 P
0.000 0.500 0.500 Cl
0.500 0.000 0.500 Cl

# 14
SrPuSc2, relaxed, DFT GGA-PBE; magnetization = 5.68 Bohr magnetons per cell; calculated formation energy = 381 meV per atom; uncorrected energy = -27.15 eV/cell
1.0
1.690 0.976 11.901
-1.690 0.976 11.901
0.000 -1.952 11.901
Sr Pu Sc
1 1 2
direct
0.000 0.000 0.000 Sr
0.500 0.500 0.500 Pu
0.094 0.094 0.094 Sc
0.906 0.906 0.906 Sc

# 15
Sm2Tm3ThS6, relaxed, DFT GGA-PBE; magnetization = 0.00 Bohr magnetons per cell; E_form (uncorrected) = -1.942 eV per atom; uncorrected energy = -78.34 eV/cell
1.0
8.639 -1.951 0.000
8.639 1.951 0.000
-2.059 0.000 7.665
Sm Tm Th S
2 3 1 6
direct
0.164 0.164 0.329 Sm
0.836 0.836 0.671 Sm
0.166 0.166 0.834 Tm
0.500 0.500 0.500 Tm
0.834 0.834 0.166 Tm
0.500 0.500 0.000 Th
0.004 0.004 0.738 S
0.328 0.328 0.926 S
0.336 0.336 0.408 S
0.664 0.664 0.592 S
0.672 0.672 0.074 S
0.996 0.996 0.262 S

# 16
Na2BePH, relaxed, DFT GGA-PBE; magnetization = 0.00 Bohr magnetons per cell; offset from the most stable computed form = 837 meV per atom; uncorrected energy = -12.59 eV/cell
1.0
5.329 0.000 0.000
0.000 5.329 0.000
0.000 0.000 3.097
Na Be P H
2 1 1 1
direct
0.000 0.500 0.000 Na
0.500 0.000 0.000 Na
0.000 0.000 0.000 Be
0.500 0.500 0.500 P
0.000 0.000 0.500 H

# 17
KGa2GePb, relaxed, DFT GGA-PBE; magnetization = 2.38 Bohr magnetons per cell; calculated formation energy = 740 meV per atom; uncorrected energy = -11.78 eV/cell
1.0
5.737 0.000 0.000
0.000 5.737 0.000
0.000 0.000 7.085
K Ga Ge Pb
1 2 1 1
direct
0.000 0.000 0.000 K
0.000 0.500 0.500 Ga
0.500 0.000 0.500 Ga
0.500 0.500 0.000 Ge
0.000 0.000 0.500 Pb

# 18
ZrTaIn2, relaxed, DFT GGA-PBE; magnetization = 0.76 Bohr magnetons per cell; calculated formation energy = 391 meV per atom; offset from the most stable computed form = 421 meV per atom; uncorrected energy = -24.31 eV/cell
1.0
0.000 3.501 3.501
3.501 0.000 3.501
3.501 3.501 0.000
Zr Ta In
1 1 2
direct
0.000 0.000 0.000 Zr
0.250 0.250 0.250 Ta
0.500 0.500 0.500 In
0.750 0.750 0.750 In

# 19
Ti2AsPd, relaxed, DFT GGA-PBE; magnetization = 0.00 Bohr magnetons per cell; calculated formation energy = -361 meV per atom; uncorrected energy = -54.15 eV/cell
1.0
-3.509 3.509 2.765
3.509 -3.509 2.765
3.509 3.509 -2.765
Ti As Pd
4 2 2
direct
0.123 0.625 0.998 Ti
0.375 0.373 0.498 Ti
0.627 0.125 0.002 Ti
0.875 0.877 0.502 Ti
0.000 0.000 0.000 As
0.750 0.250 0.500 As
0.250 0.750 0.500 Pd
0.500 0.500 0.000 Pd

# 20
B3MoAs, relaxed, DFT GGA-PBE; magnetization = 0.00 Bohr magnetons per cell; calculated formation energy = 2087 meV per atom; offset from the most stable computed form = 483 meV per atom; uncorrected energy = -25.08 eV/cell
1.0
3.989 0.000 0.000
0.000 3.989 0.000
0.000 0.000 3.989
B Mo As
3 1 1
direct
0.000 0.000 0.500 B
0.000 0.500 0.000 B
0.500 0.000 0.000 B
0.500 0.500 0.500 Mo
0.000 0.000 0.000 As